Entry 1:
Below is a relaxed structure of Nd2Ge4PdPt, with properties calculated at the PBE level.

Cell: 4.436 4.342 17.316 Å, 90.00 90.00 90.00°
Space group Amm2 (No. 38)
Asymmetric unit:
Nd1 0.000 0.000 0.000 (multiplicity 2)
Nd2 0.500 0.000 0.215 (multiplicity 2)
Ge1 0.000 0.000 0.360 (multiplicity 2)
Ge2 0.000 0.000 0.643 (multiplicity 2)
Ge3 0.500 0.000 0.573 (multiplicity 2)
Ge4 0.500 0.000 0.857 (multiplicity 2)
Pd1 0.500 0.000 0.431 (multiplicity 2)
Pt1 0.000 0.000 0.785 (multiplicity 2)

Computed properties:
Polymorph energy (0 for the lowest one) in eV/atom: 0.000


Entry 2:
Below is a relaxed structure of BeSnW2, with properties calculated at the PBE level.

Cell: 6.318 6.318 6.318 Å, 90.00 90.00 90.00°
Space group F-43m (No. 216)
Asymmetric unit:
Be1 0.000 0.000 0.000 (multiplicity 4)
Sn1 0.250 0.250 0.750 (multiplicity 4)
W1 0.000 0.000 0.500 (multiplicity 4)
W2 0.250 0.250 0.250 (multiplicity 4)

Computed properties:
Final energy in eV/atom: -7.89


Entry 3:
Below is a relaxed structure of K2NaTcI6, with properties calculated at the PBE level.

Cell: 8.014 8.014 12.083 Å, 90.00 90.00 90.00°
Space group I4/m (No. 87)
Asymmetric unit:
K1 0.000 0.500 0.250 (multiplicity 4)
Na1 0.000 0.000 0.000 (multiplicity 2)
Tc1 0.000 0.000 0.500 (multiplicity 2)
I1 0.000 0.000 0.270 (multiplicity 4)
I2 0.163 0.697 0.500 (multiplicity 8)

Computed properties:
Final energy in eV/atom: -3.10


Entry 4:
Below is a relaxed structure of Zr2AlInCu2Pt2, with properties calculated at the PBE level.

Cell: 4.567 4.567 6.484 Å, 90.00 90.00 90.00°
Space group P-4m2 (No. 115)
Asymmetric unit:
Zr1 0.000 0.000 0.000 (multiplicity 1)
Zr2 0.500 0.500 0.500 (multiplicity 1)
Al1 0.000 0.000 0.500 (multiplicity 1)
In1 0.500 0.500 0.000 (multiplicity 1)
Cu1 0.000 0.500 0.262 (multiplicity 2)
Pt1 0.000 0.500 0.731 (multiplicity 2)

Computed properties:
Final energy in eV/atom: -6.06


Entry 5:
Below is a relaxed structure of NbCoReAs, with properties calculated at the PBE level.

Cell: 6.189 6.189 6.189 Å, 90.00 90.00 90.00°
Space group F-43m (No. 216)
Asymmetric unit:
Nb1 0.000 0.000 0.000 (multiplicity 4)
Co1 0.250 0.250 0.750 (multiplicity 4)
Re1 0.250 0.250 0.250 (multiplicity 4)
As1 0.000 0.000 0.500 (multiplicity 4)

Computed properties:
Polymorph energy (0 for the lowest one) in eV/atom: 0.000


Entry 6:
Below is a relaxed structure of ZrCu, with properties calculated at the PBE level.

Cell: 4.465 6.589 4.671 Å, 90.00 90.00 90.00°
Space group Pmm2 (No. 25)
Asymmetric unit:
Zr1 0.000 0.000 0.000 (multiplicity 1)
Zr2 0.000 0.276 0.485 (multiplicity 2)
Zr3 0.500 0.000 0.556 (multiplicity 1)
Cu1 0.000 0.500 0.978 (multiplicity 1)
Cu2 0.500 0.291 0.072 (multiplicity 2)
Cu3 0.500 0.500 0.618 (multiplicity 1)

Computed properties:
ΔH_f (0 K) in eV per atom: 0.098


Entry 7:
Below is a relaxed structure of PaHgTe, with properties calculated at the PBE level.

Cell: 7.208 7.208 7.208 Å, 90.00 90.00 90.00°
Space group F-43m (No. 216)
Asymmetric unit:
Pa1 0.000 0.000 0.000 (multiplicity 4)
Hg1 0.000 0.000 0.500 (multiplicity 4)
Te1 0.250 0.250 0.750 (multiplicity 4)

Computed properties:
Polymorph energy (0 for the lowest one) in eV/atom: 0.000


Entry 8:
Below is a relaxed structure of InCuTcAg, with properties calculated at the PBE level.

Cell: 6.428 6.428 6.428 Å, 90.00 90.00 90.00°
Space group F-43m (No. 216)
Asymmetric unit:
In1 0.000 0.000 0.000 (multiplicity 4)
Cu1 0.250 0.250 0.250 (multiplicity 4)
Tc1 0.250 0.250 0.750 (multiplicity 4)
Ag1 0.000 0.000 0.500 (multiplicity 4)

Computed properties:
Polymorph energy (0 for the lowest one) in eV/atom: 0.000


Entry 9:
Below is a relaxed structure of CdTePtO, with properties calculated at the PBE level.

Cell: 5.820 6.773 8.248 Å, 90.00 90.00 90.00°
Space group P2_12_12_1 (No. 19)
Asymmetric unit:
Cd1 0.036 0.213 0.376 (multiplicity 4)
Te1 0.246 0.360 0.078 (multiplicity 4)
Pt1 0.023 0.915 0.753 (multiplicity 4)
O1 0.148 0.174 0.645 (multiplicity 4)

Computed properties:
Polymorph energy (0 for the lowest one) in eV/atom: 0.130


Entry 10:
Below is a relaxed structure of LaTmSi4Os2, with properties calculated at the PBE level.

Cell: 4.474 4.132 8.207 Å, 90.00 102.34 90.00°
Space group Pm (No. 6)
Asymmetric unit:
La1 0.000 0.000 0.000 (multiplicity 1)
Tm1 0.818 0.500 0.594 (multiplicity 1)
Si1 0.082 0.500 0.302 (multiplicity 1)
Si2 0.377 0.000 0.711 (multiplicity 1)
Si3 0.452 0.500 0.891 (multiplicity 1)
Si4 0.751 0.000 0.312 (multiplicity 1)
Os1 0.301 0.000 0.420 (multiplicity 1)
Os2 0.533 0.500 0.190 (multiplicity 1)

Computed properties:
Final energy in eV/atom: -7.41


Entry 11:
Below is a relaxed structure of Zn2Pb, with properties calculated at the PBE level.

Cell: 11.146 5.199 4.401 Å, 90.00 90.00 90.00°
Space group Cmcm (No. 63)
Asymmetric unit:
Zn1 0.216 0.136 0.250 (multiplicity 8)
Pb1 0.000 0.251 0.750 (multiplicity 4)

Computed properties:
Final energy in eV/atom: -2.00


Entry 12:
Below is a relaxed structure of HfBeSi, with properties calculated at the PBE level.

Cell: 3.7075 3.7075 3.5663 Å, 90.00 90.00 120.00°
Space group P-6m2 (No. 187)
Asymmetric unit:
Hf1 0.0000 0.0000 0.0000 (multiplicity 1)
Be1 0.3333 0.6667 0.5000 (multiplicity 1)
Si1 0.6667 0.3333 0.5000 (multiplicity 1)

Computed properties:
Polymorph energy (0 for the lowest one) in eV/atom: 0.000